GdTlPt, relaxed, DFT PBE; total DFT energy (no corrections) = -13.73 eV per cell; calculated density = 11477 kg/m³; V = 26.8 Å³ per atom; spin magnetization = 0.001 μB/atom
1.0
-0.698 2.483 4.104
-3.167 -1.609 3.298
1.589 -1.789 4.216
Gd Pt Tl
1 1 1
Cartesian
0.000 0.000 0.000
-0.569 -0.229 2.904
-1.707 -0.686 8.713